Record 1
{
  "formula": "CsHg2RhS",
  "functional": "PBE",
  "state": "relaxed",
  "dos_ef_per_ev_atom": 0.634,
  "energy_ev_per_atom": -2.85,
  "magnetic_moment_mub_per_fu": 0.72,
  "e_form_raw_ev_per_atom": -0.27,
  "mass_density_g_cm3": 7.84,
  "cell": [[5.4758, 0.0000, 0.0000], [0.0000, 5.4758, 0.0000], [0.0000, 0.0000, 4.7255]],
  "species": ["Cs", "Hg", "Hg", "Rh", "S"],
  "frac_coords": [[0.0000, 0.0000, 0.0000], [0.0000, 0.5000, 0.5000], [0.5000, 0.0000, 0.5000], [0.5000, 0.5000, 0.5000], [0.5000, 0.5000, 0.0000]]
}



Record 2
{
  "formula": "EuMg4Cd",
  "functional": "PBE",
  "state": "relaxed",
  "delta_e_f_kj_per_mol_atoms": -1.45,
  "dos_ef_per_ev_atom": 1.766,
  "energy_ev_per_atom": -2.94,
  "magnetic_moment_mub_per_fu": 7.87,
  "mass_density_g_cm3": 3.84,
  "cell": [[0.0000, 4.2763, 4.2763], [4.2763, 0.0000, 4.2763], [4.2763, 4.2763, 0.0000]],
  "species": ["Eu", "Mg", "Mg", "Mg", "Mg", "Cd"],
  "frac_coords": [[0.0000, 0.0000, 0.0000], [0.3751, 0.3751, 0.3751], [0.3751, 0.3751, 0.8747], [0.3751, 0.8747, 0.3751], [0.8747, 0.3751, 0.3751], [0.7500, 0.7500, 0.7500]]
}



Record 3
{
  "formula": "Rb3In2Au",
  "functional": "PBE",
  "state": "relaxed",
  "delta_e_f_kj_per_mol_atoms": -11.95,
  "dos_ef_per_ev_atom": 0.686,
  "energy_ev_per_atom": -2.07,
  "magnetic_moment_mub_per_fu": 0.00,
  "mass_density_g_cm3": 3.84,
  "cell": [[6.7580, -4.9455, 0.0000], [6.7580, 4.9455, 0.0000], [0.0000, 0.0000, 8.8431]],
  "species": ["Rb", "Rb", "Rb", "Rb", "Rb", "Rb", "In", "In", "In", "In", "Au", "Au"],
  "frac_coords": [[0.0069, 0.6296, 0.2500], [0.2048, 0.7952, 0.7500], [0.3704, 0.9931, 0.2500], [0.6296, 0.0069, 0.7500], [0.7952, 0.2048, 0.2500], [0.9931, 0.3704, 0.7500], [0.3755, 0.3755, 0.0000], [0.3755, 0.3755, 0.5000], [0.6245, 0.6245, 0.0000], [0.6245, 0.6245, 0.5000], [0.4529, 0.5471, 0.2500], [0.5471, 0.4529, 0.7500]]
}



Record 4
{
  "formula": "As2OsPt",
  "functional": "PBE",
  "state": "relaxed",
  "delta_e_f_kj_per_mol_atoms": 16.78,
  "dos_ef_per_ev_atom": 0.412,
  "e_above_lowest_polymorph_kj_per_mol_atoms": 7.4,
  "energy_ev_per_atom": -6.47,
  "magnetic_moment_mub_per_fu": 0.00,
  "mass_density_g_cm3": 13.43,
  "cell": [[4.4949, -1.5981, 0.0000], [4.4949, 1.5981, 0.0000], [-1.0542, 0.0000, 4.6042]],
  "species": ["As", "As", "Os", "Pt"],
  "frac_coords": [[0.0000, 0.0000, 0.0000], [0.2371, 0.2371, 0.5752], [0.7231, 0.7231, 0.1457], [0.5024, 0.5024, 0.5059]]
}



Record 5
{
  "formula": "Cs12Bi5I3",
  "functional": "PBE",
  "state": "relaxed",
  "dos_ef_per_ev_atom": 1.139,
  "energy_ev_per_atom": -2.15,
  "magnetic_moment_mub_per_fu": 6.10,
  "e_form_raw_ev_per_atom": -0.44,
  "mass_density_g_cm3": 3.31,
  "cell": [[-11.4900, 11.4900, 11.4900], [11.4900, -11.4900, 11.4900], [11.4900, 11.4900, -11.4900]],
  "species": ["Cs", "Cs", "Cs", "Cs", "Cs", "Cs", "Cs", "Cs", "Cs", "Cs", "Cs", "Cs", "Cs", "Cs", "Cs", "Cs", "Cs", "Cs", "Cs", "Cs", "Cs", "Cs", "Cs", "Cs", "Cs", "Cs", "Cs", "Cs", "Cs", "Cs", "Cs", "Cs", "Cs", "Cs", "Cs", "Cs", "Cs", "Cs", "Cs", "Cs", "Cs", "Cs", "Cs", "Cs", "Cs", "Cs", "Cs", "Cs", "Bi", "Bi", "Bi", "Bi", "Bi", "Bi", "Bi", "Bi", "Bi", "Bi", "Bi", "Bi", "Bi", "Bi", "Bi", "Bi", "Bi", "Bi", "Bi", "Bi", "I", "I", "I", "I", "I", "I", "I", "I", "I", "I", "I", "I"],
  "frac_coords": [[0.0474, 0.2194, 0.1244], [0.0474, 0.3280, 0.9230], [0.0770, 0.6244, 0.4050], [0.0770, 0.9526, 0.6720], [0.0950, 0.7194, 0.6720], [0.0950, 0.8756, 0.4230], [0.1244, 0.0474, 0.2194], [0.1244, 0.5770, 0.9050], [0.1720, 0.2194, 0.5950], [0.1720, 0.4526, 0.5770], [0.2194, 0.1244, 0.0474], [0.2194, 0.5950, 0.1720], [0.2806, 0.3280, 0.9050], [0.2806, 0.4526, 0.3756], [0.3280, 0.9050, 0.2806], [0.3280, 0.9230, 0.0474], [0.3756, 0.2806, 0.4526], [0.3756, 0.5950, 0.9230], [0.4050, 0.0770, 0.6244], [0.4050, 0.8280, 0.7806], [0.4230, 0.0950, 0.8756], [0.4230, 0.8280, 0.5474], [0.4526, 0.3756, 0.2806], [0.4526, 0.5770, 0.1720], [0.5474, 0.4230, 0.8280], [0.5474, 0.6244, 0.7194], [0.5770, 0.1720, 0.4526], [0.5770, 0.9050, 0.1244], [0.5950, 0.1720, 0.2194], [0.5950, 0.9230, 0.3756], [0.6244, 0.4050, 0.0770], [0.6244, 0.7194, 0.5474], [0.6720, 0.0770, 0.9526], [0.6720, 0.0950, 0.7194], [0.7194, 0.5474, 0.6244], [0.7194, 0.6720, 0.0950], [0.7806, 0.4050, 0.8280], [0.7806, 0.8756, 0.9526], [0.8280, 0.5474, 0.4230], [0.8280, 0.7806, 0.4050], [0.8756, 0.4230, 0.0950], [0.8756, 0.9526, 0.7806], [0.9050, 0.1244, 0.5770], [0.9050, 0.2806, 0.3280], [0.9230, 0.0474, 0.3280], [0.9230, 0.3756, 0.5950], [0.9526, 0.6720, 0.0770], [0.9526, 0.7806, 0.8756], [0.0000, 0.0000, 0.0000], [0.0000, 0.0000, 0.5000], [0.0000, 0.5000, 0.0000], [0.0000, 0.5000, 0.5000], [0.1250, 0.7500, 0.8750], [0.1250, 0.8750, 0.2500], [0.2500, 0.1250, 0.8750], [0.2500, 0.6250, 0.3750], [0.3750, 0.2500, 0.6250], [0.3750, 0.6250, 0.7500], [0.5000, 0.0000, 0.0000], [0.5000, 0.0000, 0.5000], [0.5000, 0.5000, 0.0000], [0.5000, 0.5000, 0.5000], [0.6250, 0.3750, 0.2500], [0.6250, 0.7500, 0.3750], [0.7500, 0.3750, 0.6250], [0.7500, 0.8750, 0.1250], [0.8750, 0.1250, 0.7500], [0.8750, 0.2500, 0.1250], [0.1250, 0.2500, 0.3750], [0.1250, 0.3750, 0.7500], [0.2500, 0.3750, 0.1250], [0.2500, 0.8750, 0.6250], [0.3750, 0.1250, 0.2500], [0.3750, 0.7500, 0.1250], [0.6250, 0.2500, 0.8750], [0.6250, 0.8750, 0.7500], [0.7500, 0.1250, 0.3750], [0.7500, 0.6250, 0.8750], [0.8750, 0.6250, 0.2500], [0.8750, 0.7500, 0.6250]]
}



Record 6
{
  "formula": "BeZnBr2",
  "functional": "PBE",
  "state": "relaxed",
  "dos_ef_per_ev_atom": 0.000,
  "e_above_lowest_polymorph_kj_per_mol_atoms": 9.5,
  "energy_ev_per_atom": -2.34,
  "magnetic_moment_mub_per_fu": 0.00,
  "e_form_raw_ev_per_atom": -0.26,
  "mass_density_g_cm3": 2.04,
  "cell": [[2.2856, 1.3196, 10.5463], [-2.2856, 1.3196, 10.5463], [0.0000, -2.6392, 10.5463]],
  "species": ["Be", "Zn", "Br", "Br"],
  "frac_coords": [[0.0000, 0.0000, 0.0000], [0.5000, 0.5000, 0.5000], [0.0615, 0.0615, 0.0615], [0.9385, 0.9385, 0.9385]]
}



Record 7
{
  "formula": "LiVCuS",
  "functional": "PBE",
  "state": "relaxed",
  "dos_ef_per_ev_atom": 0.789,
  "e_above_lowest_polymorph_kj_per_mol_atoms": 0.7,
  "energy_ev_per_atom": -5.17,
  "magnetic_moment_mub_per_fu": 0.00,
  "e_form_raw_ev_per_atom": -0.35,
  "mass_density_g_cm3": 4.38,
  "cell": [[1.5132, 0.8736, 7.3308], [-1.5132, 0.8736, 7.3308], [0.0000, -1.7473, 7.3308]],
  "species": ["Li", "V", "Cu", "S"],
  "frac_coords": [[0.0000, 0.0000, 0.0000], [0.8541, 0.8541, 0.8541], [0.4335, 0.4335, 0.4335], [0.5881, 0.5881, 0.5881]]
}



Record 8
{
  "formula": "Ce5Tl3Zn3",
  "functional": "PBE",
  "state": "relaxed",
  "delta_e_f_kj_per_mol_atoms": 10.87,
  "dos_ef_per_ev_atom": 2.656,
  "energy_ev_per_atom": -3.58,
  "magnetic_moment_mub_per_fu": 5.63,
  "mass_density_g_cm3": 8.86,
  "cell": [[10.0372, 0.0000, 0.0000], [-5.0186, 8.6925, 0.0000], [0.0000, 0.0000, 3.2448]],
  "species": ["Ce", "Ce", "Ce", "Ce", "Ce", "Tl", "Tl", "Tl", "Zn", "Zn", "Zn"],
  "frac_coords": [[0.0000, 0.6504, 0.0000], [0.3333, 0.6667, 0.0000], [0.3496, 0.3496, 0.0000], [0.6504, 0.0000, 0.0000], [0.6667, 0.3333, 0.0000], [0.0000, 0.3686, 0.5000], [0.3686, 0.0000, 0.5000], [0.6314, 0.6314, 0.5000], [0.0000, 0.1420, 0.0000], [0.1420, 0.0000, 0.0000], [0.8580, 0.8580, 0.0000]]
}



Record 9
{
  "formula": "LiVAs",
  "functional": "PBE",
  "state": "relaxed",
  "delta_e_f_kj_per_mol_atoms": -9.97,
  "dos_ef_per_ev_atom": 0.297,
  "e_above_lowest_polymorph_kj_per_mol_atoms": 45.7,
  "energy_ev_per_atom": -5.33,
  "magnetic_moment_mub_per_fu": 0.00,
  "mass_density_g_cm3": 4.60,
  "cell": [[4.3515, 0.0000, 0.0000], [-2.1757, 3.7685, 0.0000], [0.0000, 0.0000, 5.8432]],
  "species": ["Li", "Li", "V", "V", "As", "As"],
  "frac_coords": [[0.0000, 0.0000, 0.0000], [0.0000, 0.0000, 0.5000], [0.6667, 0.3333, 0.1701], [0.6667, 0.3333, 0.8299], [0.3333, 0.6667, 0.2634], [0.3333, 0.6667, 0.7366]]
}



Record 10
{
  "formula": "TbEr3Ir2",
  "functional": "PBE",
  "state": "relaxed",
  "delta_e_f_kj_per_mol_atoms": -73.05,
  "dos_ef_per_ev_atom": 0.937,
  "e_above_lowest_polymorph_kj_per_mol_atoms": 0.0,
  "energy_ev_per_atom": -6.76,
  "magnetic_moment_mub_per_fu": 0.00,
  "mass_density_g_cm3": 12.06,
  "cell": [[4.5885, 0.0000, 0.0000], [0.0000, 8.7095, 0.0000], [0.0000, 0.0000, 7.2016]],
  "species": ["Tb", "Tb", "Er", "Er", "Er", "Er", "Er", "Er", "Ir", "Ir", "Ir", "Ir"],
  "frac_coords": [[0.0000, 0.0862, 0.0000], [0.0000, 0.9138, 0.5000], [0.0000, 0.3307, 0.6316], [0.0000, 0.6693, 0.1316], [0.5000, 0.1721, 0.3485], [0.5000, 0.4133, 0.9795], [0.5000, 0.5867, 0.4795], [0.5000, 0.8279, 0.8485], [0.0000, 0.3450, 0.2346], [0.0000, 0.6550, 0.7346], [0.5000, 0.1573, 0.7445], [0.5000, 0.8427, 0.2445]]
}



Record 11
{
  "formula": "BaLaPb2Br",
  "functional": "PBE",
  "state": "relaxed",
  "dos_ef_per_ev_atom": 0.689,
  "energy_ev_per_atom": -3.46,
  "magnetic_moment_mub_per_fu": 0.00,
  "e_form_raw_ev_per_atom": -0.27,
  "mass_density_g_cm3": 6.23,
  "cell": [[6.0972, 0.0000, 0.0000], [0.0000, 6.0972, 0.0000], [0.0000, 0.0000, 5.5216]],
  "species": ["Ba", "La", "Pb", "Pb", "Br"],
  "frac_coords": [[0.0000, 0.0000, 0.0000], [0.5000, 0.5000, 0.0000], [0.0000, 0.5000, 0.5000], [0.5000, 0.0000, 0.5000], [0.5000, 0.5000, 0.5000]]
}



Record 12
{
  "formula": "CsLiTl2Os",
  "functional": "PBE",
  "state": "relaxed",
  "delta_e_f_kj_per_mol_atoms": 125.30,
  "dos_ef_per_ev_atom": 0.805,
  "energy_ev_per_atom": -2.45,
  "magnetic_moment_mub_per_fu": 2.38,
  "mass_density_g_cm3": 8.48,
  "cell": [[5.1437, 0.0000, 0.0000], [0.0000, 5.1437, 0.0000], [0.0000, 0.0000, 5.4657]],
  "species": ["Cs", "Li", "Tl", "Tl", "Os"],
  "frac_coords": [[0.0000, 0.0000, 0.0000], [0.0000, 0.0000, 0.5000], [0.0000, 0.5000, 0.5000], [0.5000, 0.0000, 0.5000], [0.5000, 0.5000, 0.0000]]
}



Record 13
{
  "formula": "CaSn2N2",
  "functional": "PBE",
  "state": "relaxed",
  "e_above_lowest_polymorph_kj_per_mol_atoms": 0.0,
  "energy_ev_per_atom": -5.65,
  "magnetic_moment_mub_per_fu": 0.00,
  "e_form_raw_ev_per_atom": -0.31,
  "mass_density_g_cm3": 5.33,
  "cell": [[1.6970, 0.9798, 9.5462], [-1.6970, 0.9798, 9.5462], [0.0000, -1.9596, 9.5462]],
  "species": ["Ca", "Sn", "Sn", "N", "N"],
  "frac_coords": [[0.0000, 0.0000, 0.0000], [0.2359, 0.2359, 0.2359], [0.7641, 0.7641, 0.7641], [0.3868, 0.3868, 0.3868], [0.6132, 0.6132, 0.6132]]
}



Record 14
{
  "formula": "Li5Al",
  "functional": "PBE",
  "state": "relaxed",
  "delta_e_f_kj_per_mol_atoms": 2.61,
  "dos_ef_per_ev_atom": 0.383,
  "e_above_lowest_polymorph_kj_per_mol_atoms": 9.0,
  "energy_ev_per_atom": -2.19,
  "magnetic_moment_mub_per_fu": 0.00,
  "mass_density_g_cm3": 0.98,
  "cell": [[0.0000, 3.7346, 3.7346], [3.7346, 0.0000, 3.7346], [3.7346, 3.7346, 0.0000]],
  "species": ["Li", "Li", "Li", "Li", "Li", "Al"],
  "frac_coords": [[0.0000, 0.0000, 0.0000], [0.1297, 0.6234, 0.6234], [0.6234, 0.1297, 0.6234], [0.6234, 0.6234, 0.1297], [0.6234, 0.6234, 0.6234], [0.2500, 0.2500, 0.2500]]
}



Record 15
{
  "formula": "Li3ZnPd5",
  "functional": "PBE",
  "state": "relaxed",
  "delta_e_f_kj_per_mol_atoms": -28.48,
  "dos_ef_per_ev_atom": 0.251,
  "energy_ev_per_atom": -3.96,
  "magnetic_moment_mub_per_fu": 0.00,
  "mass_density_g_cm3": 8.05,
  "cell": [[-3.0188, 3.0188, 7.0016], [3.0188, -3.0188, 7.0016], [3.0188, 3.0188, -7.0016]],
  "species": ["Li", "Li", "Li", "Li", "Li", "Li", "Zn", "Zn", "Pd", "Pd", "Pd", "Pd", "Pd", "Pd", "Pd", "Pd", "Pd", "Pd"],
  "frac_coords": [[0.1183, 0.6183, 0.7366], [0.2500, 0.2500, 0.0000], [0.3817, 0.1183, 0.5000], [0.6183, 0.8817, 0.5000], [0.7500, 0.7500, 0.0000], [0.8817, 0.3817, 0.2634], [0.2500, 0.7500, 0.5000], [0.7500, 0.2500, 0.5000], [0.0000, 0.0000, 0.0000], [0.0897, 0.1273, 0.5000], [0.1273, 0.6273, 0.0376], [0.3727, 0.4103, 0.5000], [0.4103, 0.9103, 0.0376], [0.5000, 0.5000, 0.0000], [0.5897, 0.0897, 0.9624], [0.6273, 0.5897, 0.5000], [0.8727, 0.3727, 0.9624], [0.9103, 0.8727, 0.5000]]
}



Record 16
{
  "formula": "P2OsRhS",
  "functional": "PBE",
  "state": "relaxed",
  "dos_ef_per_ev_atom": 0.763,
  "e_above_lowest_polymorph_kj_per_mol_atoms": 33.2,
  "energy_ev_per_atom": -5.40,
  "magnetic_moment_mub_per_fu": 0.81,
  "e_form_raw_ev_per_atom": 1.30,
  "mass_density_g_cm3": 7.09,
  "cell": [[4.4345, 0.0000, 0.0000], [0.0000, 4.4345, 0.0000], [0.0000, 0.0000, 4.6096]],
  "species": ["P", "P", "Os", "Rh", "S"],
  "frac_coords": [[0.0000, 0.5000, 0.0000], [0.5000, 0.0000, 0.0000], [0.0000, 0.0000, 0.5000], [0.5000, 0.5000, 0.0000], [0.5000, 0.5000, 0.5000]]
}



Record 17
{
  "formula": "HfCu2F4",
  "functional": "PBE",
  "state": "relaxed",
  "dos_ef_per_ev_atom": 0.413,
  "energy_ev_per_atom": -5.42,
  "magnetic_moment_mub_per_fu": 0.31,
  "e_form_raw_ev_per_atom": -1.76,
  "mass_density_g_cm3": 5.97,
  "cell": [[-2.2534, 2.2534, 5.2292], [2.2534, -2.2534, 5.2292], [2.2534, 2.2534, -5.2292]],
  "species": ["Hf", "Cu", "Cu", "F", "F", "F", "F"],
  "frac_coords": [[0.0000, 0.0000, 0.0000], [0.3858, 0.3858, 0.0000], [0.6142, 0.6142, 0.0000], [0.0000, 0.5000, 0.5000], [0.1885, 0.1885, 0.0000], [0.5000, 0.0000, 0.5000], [0.8115, 0.8115, 0.0000]]
}



Record 18
{
  "formula": "CeYCdPd",
  "functional": "PBE",
  "state": "relaxed",
  "delta_e_f_kj_per_mol_atoms": -39.83,
  "dos_ef_per_ev_atom": 2.206,
  "energy_ev_per_atom": -5.04,
  "magnetic_moment_mub_per_fu": 0.88,
  "mass_density_g_cm3": 7.50,
  "cell": [[0.0000, 3.6742, 3.6742], [3.6742, 0.0000, 3.6742], [3.6742, 3.6742, 0.0000]],
  "species": ["Ce", "Y", "Cd", "Pd"],
  "frac_coords": [[0.0000, 0.0000, 0.0000], [0.5000, 0.5000, 0.5000], [0.7500, 0.7500, 0.7500], [0.2500, 0.2500, 0.2500]]
}



Record 19
{
  "formula": "Ti4HgPd",
  "functional": "PBE",
  "state": "relaxed",
  "delta_e_f_kj_per_mol_atoms": -24.76,
  "dos_ef_per_ev_atom": 0.723,
  "energy_ev_per_atom": -6.44,
  "magnetic_moment_mub_per_fu": 0.00,
  "mass_density_g_cm3": 7.99,
  "cell": [[3.1103, 0.0000, 0.0000], [0.0000, 3.1103, 0.0000], [0.0000, 0.0000, 10.7140]],
  "species": ["Ti", "Ti", "Ti", "Ti", "Hg", "Pd"],
  "frac_coords": [[0.0000, 0.0000, 0.1544], [0.0000, 0.0000, 0.8456], [0.5000, 0.5000, 0.3164], [0.5000, 0.5000, 0.6836], [0.0000, 0.0000, 0.5000], [0.5000, 0.5000, 0.0000]]
}



Record 20
{
  "formula": "PaS2F",
  "functional": "PBE",
  "state": "relaxed",
  "e_above_lowest_polymorph_kj_per_mol_atoms": 31.9,
  "energy_ev_per_atom": -6.73,
  "magnetic_moment_mub_per_fu": 0.00,
  "e_form_raw_ev_per_atom": -1.82,
  "mass_density_g_cm3": 7.77,
  "cell": [[0.0000, 3.2260, 3.2260], [3.2260, 0.0000, 3.2260], [3.2260, 3.2260, 0.0000]],
  "species": ["Pa", "S", "S", "F"],
  "frac_coords": [[0.0000, 0.0000, 0.0000], [0.2500, 0.2500, 0.2500], [0.7500, 0.7500, 0.7500], [0.5000, 0.5000, 0.5000]]
}